Entry 1:
DFT (PBE) results for crystalline Ca2AcSe3 at its relaxed geometry.

```
Ca2AcSe3
1.0
4.281 0.000 0.000
0.000 6.142 0.000
-2.141 -3.071 6.471
Se Ca Ac
3 2 1
direct
0.823 0.323 0.146 Se
0.500 0.000 0.500 Se
0.177 0.677 0.854 Se
0.166 0.166 0.832 Ca
0.834 0.834 0.168 Ca
0.500 0.500 0.500 Ac
```

## Properties
Space group: Immm (71)
Spin magnetization, μB/atom: 0.0000
Formation energy without anion corrections, eV/atom: -1.929

=====

Entry 2:
DFT (PBE) results for crystalline CaAc2Se at its relaxed geometry.

```
CaAc2Se
1.0
-3.805 -1.201 0.984
-1.846 -2.962 -2.170
2.488 -9.367 6.776
Ac Ca Se
2 1 1
direct
0.109 0.109 0.672 Ac
0.891 0.891 0.328 Ac
0.000 0.000 0.000 Ca
0.500 0.500 0.500 Se
```

## Properties
Space group: R-3m (166)
Spin magnetization, μB/atom: 0.0000
Formation energy without anion corrections, eV/atom: -0.629

=====

> Which value of spin magnetization does entry 1 give?

0.0000 μB/atom

=====

> Among the records above, which one has the lowest formation energy without anion corrections?

Ca2AcSe3

=====

> Which value of formation energy without anion corrections does entry 1 give?

-1.929 eV/atom